[1]
A geometry-optimized Pr3Cd3Ag2 structure. Source: the Alexandria database, functional GGA-PBE.

Geometry as extended XYZ:
```
8
Lattice="7.854 0.000 0.000 -3.927 6.801 0.000 0.000 0.000 4.077" Properties=species:S:1:pos:R:3 pbc="T T T"
Pr -1.589 2.753 0.000
Pr 3.179 0.000 0.000
Pr 2.337 4.049 0.000
Cd -3.020 5.231 2.038
Cd 0.907 1.570 2.038
Cd 6.040 0.000 2.038
Ag 0.000 4.534 2.038
Ag 3.927 2.267 2.038
```

Computed properties:
SG: P-62m, No. 189
Energy of formation, eV per atom: -0.269
Mass density, Mg/m³: 7.4

[2]
A geometry-optimized CsBeN2F structure. Source: the Alexandria database, functional GGA-PBE.

Geometry as extended XYZ:
```
5
Lattice="4.403 0.000 0.000 0.000 4.403 0.000 0.000 0.000 4.821" Properties=species:S:1:pos:R:3 pbc="T T T"
Cs 0.000 0.000 0.000
Be 2.201 2.201 2.411
N 0.000 2.201 0.000
N 2.201 0.000 0.000
F 0.000 0.000 2.411
```

Computed properties:
SG: P4/mmm, No. 123
Uncorrected energy, eV per atom: -2.4219
Mass density, Mg/m³: 3.4

[3]
A geometry-optimized BaSc2Ru structure. Source: the Alexandria database, functional GGA-PBE.

Geometry as extended XYZ:
```
4
Lattice="4.445 0.000 0.000 0.000 4.445 0.000 0.000 0.000 4.863" Properties=species:S:1:pos:R:3 pbc="T T T"
Ba 0.000 0.000 0.000
Sc 0.000 2.223 2.432
Sc 2.223 0.000 2.432
Ru 2.223 2.223 0.000
```

Computed properties:
SG: P4/mmm, No. 123
Energy of formation, eV per atom: 0.486
Mass density, Mg/m³: 5.7

[4]
A geometry-optimized Dy3TmTh structure. Source: the Alexandria database, functional GGA-PBE.

Geometry as extended XYZ:
```
10
Lattice="3.049 -6.046 0.000 3.049 6.046 0.000 -3.044 0.000 8.744" Properties=species:S:1:pos:R:3 pbc="T T T"
Dy 0.006 4.420 6.975
Dy 3.049 4.420 1.769
Dy -0.002 0.000 5.435
Dy 3.057 0.000 3.309
Dy 0.006 -4.420 6.975
Dy 3.049 -4.420 1.769
Tm 1.528 3.017 4.372
Tm 1.528 -3.017 4.372
Th 3.049 1.592 0.000
Th 3.049 -1.592 0.000
```

Computed properties:
SG: C2/m, No. 12
Energy of formation, eV per atom: 0.201
Mass density, Mg/m³: 9.2

[5]
A geometry-optimized Rb2In4Hg3Pb structure. Source: the Alexandria database, functional GGA-PBE.

Geometry as extended XYZ:
```
10
Lattice="5.171 0.000 0.000 0.000 5.171 0.000 0.000 0.000 12.340" Properties=species:S:1:pos:R:3 pbc="T T T"
Rb 0.000 2.585 3.067
Rb 2.585 0.000 9.273
In 0.000 0.000 0.000
In 0.000 2.585 7.839
In 2.585 0.000 4.502
In 2.585 2.585 0.000
Hg 0.000 2.585 10.759
Hg 2.585 0.000 1.581
Hg 2.585 2.585 6.170
Pb 0.000 0.000 6.170
```

Computed properties:
SG: P-4m2, No. 115
Energy of formation, eV per atom: -0.132
Mass density, Mg/m³: 7.2

[6]
A geometry-optimized Pm15Nd4Sm structure. Source: the Alexandria database, functional GGA-PBE.

Geometry as extended XYZ:
```
20
Lattice="5.173 0.000 0.000 0.000 5.173 0.000 0.000 0.000 25.830" Properties=species:S:1:pos:R:3 pbc="T T T"
Pm 0.000 0.000 0.000
Pm 0.000 0.000 5.158
Pm 0.000 0.000 10.333
Pm 0.000 0.000 15.497
Pm 0.000 0.000 20.672
Pm 0.000 2.586 2.572
Pm 0.000 2.586 7.748
Pm 0.000 2.586 12.915
Pm 0.000 2.586 18.082
Pm 0.000 2.586 23.258
Pm 2.586 0.000 2.572
Pm 2.586 0.000 7.748
Pm 2.586 0.000 12.915
Pm 2.586 0.000 18.082
Pm 2.586 0.000 23.258
Nd 2.586 2.586 5.162
Nd 2.586 2.586 10.332
Nd 2.586 2.586 15.497
Nd 2.586 2.586 20.668
Sm 2.586 2.586 0.000
```

Computed properties:
SG: P4/mmm, No. 123
Energy of formation, eV per atom: 0.014
Mass density, Mg/m³: 7.0